[1]
## Na3Mg2P5O16 (meta-GGA SCAN)

Data for Na3Mg2P5O16 at its PBEsol-relaxed geometry.

final energy	-9.334	eV/atom
magnetic moment	0.00	μB/f.u.
symmetry	P2/c
E_form (uncorrected)	-2.63	eV per atom

a b c (Å): 5.1935 6.8682 18.6492
angles (deg): 90.00 90.17 90.00
With the nearest neighbours (Å) after each atom.
Fractional coordinates of all 52 atoms:
Na 0.2513 0.6479 0.0324  5 O 2.32-2.45
Na 0.5000 0.0289 0.7500  4 O 2.34-2.51
Na 0.7487 0.3521 0.9676  5 O 2.32-2.45
Na 0.2513 0.3521 0.5324  5 O 2.32-2.45
Na 0.5000 0.9711 0.2500  4 O 2.34-2.51
Na 0.7487 0.6479 0.4676  5 O 2.32-2.45
Mg 0.2688 0.1790 0.0915  6 O 2.03-2.19
Mg 0.7312 0.1790 0.4085  6 O 2.03-2.19
Mg 0.7312 0.8210 0.9085  6 O 2.03-2.19
Mg 0.2688 0.8210 0.5915  6 O 2.03-2.19
P 0.0000 0.7419 0.7500  4 O 1.49-1.60
P 0.0000 0.2581 0.2500  4 O 1.49-1.60
P 0.7572 0.4742 0.1297  4 O 1.50-1.60
P 0.2428 0.4742 0.3703  4 O 1.50-1.60
P 0.2279 0.8791 0.4169  4 O 1.52-1.67
P 0.2428 0.5258 0.8703  4 O 1.50-1.60
P 0.2279 0.1209 0.9169  4 O 1.52-1.67
P 0.7721 0.1209 0.5831  4 O 1.52-1.67
P 0.7572 0.5258 0.6297  4 O 1.50-1.60
P 0.7721 0.8791 0.0831  4 O 1.52-1.67
O 0.9642 0.3972 0.0804  1 P 1.51
O 0.0358 0.6028 0.9196  1 P 1.51
O 0.9642 0.6028 0.5804  1 P 1.51
O 0.2112 0.7014 0.3560  2 P 1.59-1.67
O 0.0358 0.3972 0.4196  1 P 1.51
O 0.1945 0.5969 0.7896  2 P 1.60
O 0.4837 0.4322 0.1087  1 P 1.50
O 0.4021 0.9746 0.8801  1 P 1.52
O 0.8386 0.1469 0.3021  1 P 1.49
O 0.6570 0.2171 0.5164  1 P 1.53
O 0.5979 0.9746 0.6199  1 P 1.52
O 0.4021 0.0254 0.3801  1 P 1.52
O 0.9489 0.9377 0.4269  1 P 1.52
O 0.8386 0.8531 0.8021  1 P 1.49
O 0.3430 0.2171 0.9836  1 P 1.53
O 0.5163 0.4322 0.3913  1 P 1.50
O 0.8055 0.4031 0.2104  2 P 1.60
O 0.0511 0.9377 0.0731  1 P 1.52
O 0.0511 0.0623 0.5731  1 P 1.52
O 0.8055 0.5969 0.7104  2 P 1.60
O 0.6570 0.7829 0.0164  1 P 1.53
O 0.1614 0.1469 0.1979  1 P 1.49
O 0.2112 0.2986 0.8560  2 P 1.59-1.67
O 0.5979 0.0254 0.1199  1 P 1.52
O 0.9489 0.0623 0.9269  1 P 1.52
O 0.5163 0.5678 0.8913  1 P 1.50
O 0.7888 0.2986 0.6440  2 P 1.59-1.67
O 0.4837 0.5678 0.6087  1 P 1.50
O 0.3430 0.7829 0.4836  1 P 1.53
O 0.7888 0.7014 0.1440  2 P 1.59-1.67
O 0.1945 0.4031 0.2896  2 P 1.60
O 0.1614 0.8531 0.6979  1 P 1.49



[2]
## Cu2SiTe (meta-GGA SCAN)

Data for Cu2SiTe at its PBEsol-relaxed geometry.

final energy	-18.742	eV/atom
magnetic moment	0.00	μB/f.u.
symmetry	F-43m
E_form (uncorrected)	0.67	eV per atom

a b c (Å): 4.5486 4.5486 4.5486
angles (deg): 60.00 60.00 60.00
With the nearest neighbours (Å) after each atom.
Fractional coordinates of all 4 atoms:
Cu 0.0000 0.0000 0.0000  4 Te 2.79, 4 Cu 2.79
Cu 0.7500 0.7500 0.7500  4 Si 2.79, 4 Cu 2.79
Si 0.5000 0.5000 0.5000  4 Cu 2.79, 4 Te 2.79
Te 0.2500 0.2500 0.2500  4 Si 2.79, 4 Cu 2.79



[3]
## VFe (meta-GGA SCAN)

Data for VFe at its PBEsol-relaxed geometry.

final energy	-17.932	eV/atom
magnetic moment	0.80	μB/f.u.
ΔE_f	-123	meV per atom
symmetry	Pm-3m

a b c (Å): 2.8335 2.8335 2.8335
angles (deg): 90.00 90.00 90.00
With the nearest neighbours (Å) after each atom.
Fractional coordinates of all 2 atoms:
Fe 0.0000 0.0000 0.0000  8 V 2.45
V 0.5000 0.5000 0.5000  8 Fe 2.45



[4]
## ZnAsIr2 (meta-GGA SCAN)

Data for ZnAsIr2 at its PBEsol-relaxed geometry.

final energy	-43.727	eV/atom
magnetic moment	0.00	μB/f.u.
ΔE_f	249	meV per atom
symmetry	Cmm2

a b c (Å): 2.7134 2.7358 9.6854
angles (deg): 90.00 90.00 119.73
With the nearest neighbours (Å) after each atom.
Fractional coordinates of all 4 atoms:
As 0.5000 0.0000 0.7789  2 Ir 2.58, 6 As 2.71-2.74
Ir 0.0000 0.0000 0.0054  2 As 2.58, 8 Ir 2.68-2.74
Ir 0.5000 0.0000 0.2440  2 Zn 2.59, 8 Ir 2.68-2.74
Zn 0.0000 0.0000 0.4718  2 Ir 2.59, 6 Zn 2.71-2.74



[5]
## GeOsRh2Br (meta-GGA SCAN)

Data for GeOsRh2Br at its PBEsol-relaxed geometry.

final energy	-33.921	eV/atom
magnetic moment	4.13	μB/f.u.
symmetry	P4/mmm
E_form (uncorrected)	1.67	eV per atom

a b c (Å): 4.4833 4.4833 4.8969
angles (deg): 90.00 90.00 90.00
With the nearest neighbours (Å) after each atom.
Fractional coordinates of all 5 atoms:
Rh 0.0000 0.5000 0.0000  2 Ge 2.24
Rh 0.5000 0.0000 0.0000  2 Ge 2.24
Ge 0.0000 0.0000 0.0000  4 Rh 2.24, 2 Br 2.45
Os 0.5000 0.5000 0.5000  4 Br 3.17, 8 Rh 3.32
Br 0.0000 0.0000 0.5000  2 Ge 2.45



[6]
## Sc3IrC4 (meta-GGA SCAN)

Data for Sc3IrC4 at its PBEsol-relaxed geometry.

final energy	-19.893	eV/atom
magnetic moment	0.00	μB/f.u.
ΔE_f	-617	meV per atom
symmetry	Immm

a b c (Å): 3.4025 4.4296 6.6738
angles (deg): 109.38 104.77 90.00
With the nearest neighbours (Å) after each atom.
Fractional coordinates of all 8 atoms:
Sc 0.8094 0.8094 0.6187  6 C 2.32-2.39
Sc 0.1906 0.1906 0.3813  6 C 2.32-2.39
Sc 0.0000 0.5000 0.0000  8 C 2.41
C 0.6273 0.7912 0.2546  1 C 1.45
C 0.3727 0.2088 0.7454  1 C 1.45
C 0.3727 0.5366 0.7454  1 C 1.45
C 0.6273 0.4634 0.2546  1 C 1.45
Ir 0.5000 0.0000 0.0000  4 C 2.14



[7]
## Ca4BeTl (meta-GGA SCAN)

Data for Ca4BeTl at its PBEsol-relaxed geometry.

final energy	-18.576	eV/atom
magnetic moment	0.00	μB/f.u.
ΔE_f	652	meV per atom
symmetry	F-43m

a b c (Å): 6.5184 6.5184 6.5184
angles (deg): 60.00 60.00 60.00
With the nearest neighbours (Å) after each atom.
Fractional coordinates of all 6 atoms:
Be 0.0000 0.0000 0.0000  12 Ca 3.82, 4 Tl 3.99
Ca 0.3750 0.3750 0.3750  6 Ca 3.26
Ca 0.3750 0.3750 0.8751  6 Ca 3.26
Ca 0.8751 0.3750 0.3750  6 Ca 3.26
Ca 0.3750 0.8751 0.3750  6 Ca 3.26
Tl 0.7500 0.7500 0.7500  12 Ca 3.82, 4 Be 3.99



[8]
## Sr2CaLa (meta-GGA SCAN)

Data for Sr2CaLa at its PBEsol-relaxed geometry.

final energy	-24.215	eV/atom
magnetic moment	0.03	μB/f.u.
ΔE_f	114	meV per atom
symmetry	Pm

a b c (Å): 3.7808 6.2678 7.3649
angles (deg): 90.00 100.51 90.00
With the nearest neighbours (Å) after each atom.
Fractional coordinates of all 4 atoms:
Sr 0.9901 0.0000 0.9916  2 Ca 3.68-3.96, 4 Sr 3.78-3.88, 2 La 3.84
Sr 0.7474 0.5000 0.2552  2 La 3.76-3.88, 4 Sr 3.78-3.88, 2 Ca 3.83
Ca 0.5137 0.0000 0.5083  4 Sr 3.68-3.96, 2 Ca 3.78, 2 La 3.81
La 0.2488 0.5000 0.7449  4 Sr 3.76-3.88, 2 La 3.78, 2 Ca 3.81